Gd2ErGa3Cu2Ni: optimized geometry, PBE.

## Properties
As for the mass density: 8.68 g cm⁻³. As for the total energy: -4.52 eV per atom.

Cell: 4.004 12.074 6.942 Å, 90.00 90.00 90.00°
Space group Amm2 (No. 38)
Unique sites:
Gd: 0.000 0.205 0.000 (multiplicity 4)
Er: 0.000 0.000 0.615 (multiplicity 2)
Ga: 0.500 0.000 0.970 (multiplicity 2)
Ga: 0.500 0.117 0.325 (multiplicity 4)
Cu: 0.500 0.164 0.705 (multiplicity 4)
Ni: 0.000 0.000 0.209 (multiplicity 2)

NdSmB2Pt8: optimized geometry, PBE.

## Properties
The excess energy over the best structure of this formula in the dataset comes out at 0 meV per atom. As for the mass density: 15.55 g cm⁻³. As for the total energy: -6.73 eV per atom.

Cell: 5.4873 5.4873 7.6878 Å, 90.00 90.00 120.00°
Space group P6/mmm (No. 191)
Unique sites:
Nd: 0.0000 0.0000 0.0000 (multiplicity 1)
Sm: 0.0000 0.0000 0.5000 (multiplicity 1)
B: 0.3333 0.6667 0.5000 (multiplicity 2)
Pt: 0.0000 0.5000 0.3013 (multiplicity 6)
Pt: 0.3333 0.6667 0.0000 (multiplicity 2)

RbGeAu: optimized geometry, PBE.

## Properties
The excess energy over the best structure of this formula in the dataset comes out at 648 meV per atom. As for the mass density: 6.35 g cm⁻³. As for the total energy: -2.52 eV per atom.

Cell: 7.187 7.187 7.187 Å, 90.00 90.00 90.00°
Space group F-43m (No. 216)
Unique sites:
Rb: 0.000 0.000 0.000 (multiplicity 4)
Ge: 0.250 0.250 0.750 (multiplicity 4)
Au: 0.000 0.000 0.500 (multiplicity 4)

ScIn2AgCl6: optimized geometry, PBE.

## Properties
The excess energy over the best structure of this formula in the dataset comes out at 0 meV per atom. As for the mass density: 3.64 g cm⁻³. As for the total energy: -3.83 eV per atom.

Cell: 7.3795 7.3795 17.2703 Å, 90.00 90.00 120.00°
Space group R3 (No. 146, hexagonal axes)
Unique sites:
Sc: 0.0000 0.0000 0.0000 (multiplicity 3)
In: 0.0000 0.0000 0.2502 (multiplicity 3)
In: 0.0000 0.0000 0.7499 (multiplicity 3)
Ag: 0.0000 0.0000 0.5004 (multiplicity 3)
Cl: 0.0225 0.4405 0.7489 (multiplicity 9)
Cl: 0.1071 0.7505 0.5840 (multiplicity 9)

ErRe4SiGe: optimized geometry, PBE.

## Properties
As for the mass density: 14.23 g cm⁻³. As for the total energy: -9.54 eV per atom.

Cell: 4.049 4.103 14.225 Å, 90.00 90.00 90.00°
Space group Amm2 (No. 38)
Unique sites:
Er: 0.000 0.000 0.000 (multiplicity 2)
Re: 0.000 0.000 0.309 (multiplicity 2)
Re: 0.000 0.000 0.700 (multiplicity 2)
Re: 0.500 0.000 0.192 (multiplicity 2)
Re: 0.500 0.000 0.817 (multiplicity 2)
Si: 0.500 0.000 0.413 (multiplicity 2)
Ge: 0.500 0.000 0.584 (multiplicity 2)

HfAgPO: optimized geometry, PBE.

## Properties
The excess energy over the best structure of this formula in the dataset comes out at 0 meV per atom. As for the mass density: 9.35 g cm⁻³. As for the total energy: -7.18 eV per atom.

Cell: 3.660 3.660 8.840 Å, 90.00 90.00 90.00°
Space group P4/nmm (No. 129, origin choice 2)
Unique sites:
Hf: 0.250 0.250 0.137 (multiplicity 2)
Ag: 0.250 0.750 0.500 (multiplicity 2)
P: 0.250 0.250 0.724 (multiplicity 2)
O: 0.250 0.750 0.000 (multiplicity 2)

Tb: optimized geometry, PBE.

## Properties
The excess energy over the best structure of this formula in the dataset comes out at 14 meV per atom. As for the mass density: 8.34 g cm⁻³. As for the total energy: -4.62 eV per atom.

Cell: 5.020 5.020 5.020 Å, 90.00 90.00 90.00°
Space group Fm-3m (No. 225)
Unique sites:
Tb: 0.000 0.000 0.000 (multiplicity 4)

ReSe2Br2: optimized geometry, PBE.

## Properties
As for the mass density: 5.38 g cm⁻³. As for the total energy: -4.69 eV per atom.

Cell: 6.899 7.341 7.444 Å, 63.99 67.85 87.04°
Space group P-1 (No. 2)
Unique sites:
Re: 0.000 0.109 0.109 (multiplicity 2)
Se: 0.120 0.773 0.190 (multiplicity 2)
Se: 0.305 0.126 0.792 (multiplicity 2)
Br: 0.244 0.697 0.721 (multiplicity 2)
Br: 0.247 0.212 0.230 (multiplicity 2)

> total energy of number 5 (ErRe4SiGe)?

-9.54 eV per atom

> The lowest mass density belongs to which entry?

ScIn2AgCl6

> Look up the mass density of the first one.

8.68 g cm⁻³

Copy entry 8 word for word.
ReSe2Br2: optimized geometry, PBE.

## Properties
As for the mass density: 5.38 g cm⁻³. As for the total energy: -4.69 eV per atom.

Cell: 6.899 7.341 7.444 Å, 63.99 67.85 87.04°
Space group P-1 (No. 2)
Unique sites:
Re: 0.000 0.109 0.109 (multiplicity 2)
Se: 0.120 0.773 0.190 (multiplicity 2)
Se: 0.305 0.126 0.792 (multiplicity 2)
Br: 0.244 0.697 0.721 (multiplicity 2)
Br: 0.247 0.212 0.230 (multiplicity 2)